A plane-wave DFT calculation with PBE was carried out for a relaxed structure of La2TaAs.

Summary:
DFT formation energy = 0.18 eV/atom
Final energy = -25.649 eV/cell

Geometry as extended XYZ:
```
4
Lattice="0.0000 3.6380 3.6380 3.6380 0.0000 3.6380 3.6380 3.6380 0.0000" Properties=species:S:1:pos:R:3 pbc="T T T"
La 0.0000 0.0000 0.0000
La 1.8190 1.8190 1.8190
Ta 5.4569 5.4569 5.4569
As 3.6380 3.6380 3.6380
```